(1)
Below is an optimized crystal structure of Cr2FeTc, with properties calculated at the PBE level.

Lattice parameters (Å, degrees): 4.8683 4.8683 2.5128 79.81 79.81 117.25
With the nearest neighbours (Å) after each atom.
Element x y z (fractional)
Tc (0.0000, 0.5000, 0.5000)  2 Tc 2.51, 4 Cr 2.53, 2 Fe 2.53
Cr (0.0000, 0.0000, 0.0000)  4 Cr 2.51-2.53, 2 Tc 2.53, 2 Fe 2.53
Cr (0.5000, 0.5000, 0.0000)  4 Cr 2.51-2.53, 2 Fe 2.53, 2 Tc 2.53
Fe (0.5000, 0.0000, 0.5000)  2 Fe 2.51, 4 Cr 2.53, 2 Tc 2.53

E_form   113 meV/atom
Mass density   8.60 g/cm3
Crystal system   monoclinic
N(E_F)   3.788 states/eV/f.u.


(2)
Below is an optimized crystal structure of FeNi4Ge, with properties calculated at the PBE level.

Lattice parameters (Å, degrees): 4.8720 4.8677 7.2568 100.57 100.59 116.93
With the nearest neighbours (Å) after each atom.
Element x y z (fractional)
Fe (0.1250, 0.8750, 0.7500)  8 Ni 2.44-2.46, 2 Ge 2.55
Fe (0.8750, 0.1250, 0.2500)  8 Ni 2.44-2.46, 2 Ge 2.55
Ni (0.9672, 0.2173, 0.9387)  2 Ge 2.44-2.47, 2 Fe 2.44-2.46, 7 Ni 2.53-2.58
Ni (0.4716, 0.7214, 0.9387)  2 Ge 2.44-2.47, 2 Fe 2.44-2.46, 7 Ni 2.53-2.58
Ni (0.5284, 0.2786, 0.0613)  2 Ge 2.44-2.47, 2 Fe 2.44-2.46, 7 Ni 2.53-2.58
Ni (0.2786, 0.5284, 0.5612)  2 Ge 2.44-2.47, 2 Fe 2.44-2.46, 7 Ni 2.53-2.58
Ni (0.7827, 0.0328, 0.5612)  2 Ge 2.44-2.47, 2 Fe 2.44-2.46, 7 Ni 2.53-2.58
Ni (0.0328, 0.7827, 0.0613)  2 Ge 2.44-2.47, 2 Fe 2.44-2.46, 7 Ni 2.53-2.58
Ni (0.7214, 0.4716, 0.4388)  2 Ge 2.44-2.47, 2 Fe 2.44-2.46, 7 Ni 2.53-2.58
Ni (0.2173, 0.9672, 0.4388)  2 Ge 2.44-2.47, 2 Fe 2.44-2.46, 7 Ni 2.53-2.58
Ge (0.6250, 0.3750, 0.7500)  8 Ni 2.44-2.47, 2 Fe 2.55
Ge (0.3750, 0.6250, 0.2500)  8 Ni 2.44-2.47, 2 Fe 2.55

E_form   -38 meV/atom
Mass density   8.40 g/cm3
Crystal system   orthorhombic
N(E_F)   5.459 states/eV/f.u.


(3)
Below is an optimized crystal structure of Ba2SnAu, with properties calculated at the PBE level.

Lattice parameters (Å, degrees): 4.9744 6.7063 9.7344 111.16 90.00 90.00
With the nearest neighbours (Å) after each atom.
Element x y z (fractional)
Au (0.2500, 0.3874, 0.2173)  2 Sn 2.97
Au (0.7500, 0.6126, 0.7827)  2 Sn 2.97
Ba (0.2500, 0.7768, 0.5769)  3 Au 3.53-3.61, 4 Sn 3.56-3.65
Ba (0.2500, 0.7836, 0.0642)  4 Au 3.48-3.78, 3 Sn 3.57-3.61
Ba (0.7500, 0.2164, 0.9358)  4 Au 3.48-3.78, 3 Sn 3.57-3.61
Ba (0.7500, 0.2232, 0.4231)  3 Au 3.53-3.61, 4 Sn 3.56-3.65
Sn (0.7500, 0.6457, 0.2838)  2 Au 2.97
Sn (0.2500, 0.3543, 0.7162)  2 Au 2.97

E_form   -642 meV/atom
Mass density   6.47 g/cm3
Crystal system   monoclinic
N(E_F)   3.107 states/eV/f.u.


(4)
Below is an optimized crystal structure of K2CeUO6, with properties calculated at the PBE level.

Lattice parameters (Å, degrees): 6.1561 6.1556 6.1545 60.00 60.01 90.00
With the nearest neighbours (Å) after each atom.
Element x y z (fractional)
O (0.2594, 0.7406, 0.0000)  1 U 2.09, 1 Ce 2.26
O (0.7406, 0.2594, 0.0000)  1 U 2.09, 1 Ce 2.26
O (0.2594, 0.2594, 0.4812)  1 U 2.09, 1 Ce 2.26
O (0.7405, 0.7405, 0.0000)  1 U 2.09, 1 Ce 2.26
O (0.2595, 0.2595, 0.0000)  1 U 2.09, 1 Ce 2.26
O (0.7406, 0.7406, 0.5188)  1 U 2.09, 1 Ce 2.26
K (0.7500, 0.2500, 0.5000)  12 O 3.08
K (0.2500, 0.7500, 0.5000)  12 O 3.08
U (0.5000, 0.5000, 0.0000)  6 O 2.09
Ce (0.0000, 0.0000, 0.0000)  6 O 2.26

Mass density   5.56 g/cm3
Formation energy (no corrections)   -2.885 eV/atom
Crystal system   cubic
N(E_F)   0.000 states/eV/f.u.


(5)
Below is an optimized crystal structure of VSbPd3, with properties calculated at the PBE level.

Lattice parameters (Å, degrees): 4.6780 4.6780 4.6780 90.00 90.00 90.00
With the nearest neighbours (Å) after each atom.
Element x y z (fractional)
Pd (0.0000, 0.5000, 0.0000)  2 V 2.34
Pd (0.5000, 0.0000, 0.0000)  2 V 2.34
Pd (0.0000, 0.0000, 0.5000)  2 V 2.34
Sb (0.5000, 0.5000, 0.5000)  12 Pd 3.31
V (0.0000, 0.0000, 0.0000)  6 Pd 2.34

Mass density   7.98 g/cm3
Formation energy (no corrections)   0.557 eV/atom
Crystal system   cubic
N(E_F)   4.105 states/eV/f.u.


(6)
Below is an optimized crystal structure of LaCoHg2, with properties calculated at the PBE level.

Lattice parameters (Å, degrees): 3.7806 4.1049 6.3121 71.00 90.00 90.00
With the nearest neighbours (Å) after each atom.
Element x y z (fractional)
Hg (0.5000, 0.1974, 0.2305)  1 Co 2.65
Hg (0.0000, 0.8076, 0.0086)  2 Co 2.74
La (0.0000, 0.5195, 0.5856)  4 Co 2.84
Co (0.5000, 0.9755, 0.6753)  3 Hg 2.65-2.74, 4 La 2.84

E_form   -95 meV/atom
Mass density   10.74 g/cm3
Crystal system   monoclinic
N(E_F)   2.716 states/eV/f.u.


Please write out number 6 again, unchanged.
Below is an optimized crystal structure of LaCoHg2, with properties calculated at the PBE level.

Lattice parameters (Å, degrees): 3.7806 4.1049 6.3121 71.00 90.00 90.00
With the nearest neighbours (Å) after each atom.
Element x y z (fractional)
Hg (0.5000, 0.1974, 0.2305)  1 Co 2.65
Hg (0.0000, 0.8076, 0.0086)  2 Co 2.74
La (0.0000, 0.5195, 0.5856)  4 Co 2.84
Co (0.5000, 0.9755, 0.6753)  3 Hg 2.65-2.74, 4 La 2.84

E_form   -95 meV/atom
Mass density   10.74 g/cm3
Crystal system   monoclinic
N(E_F)   2.716 states/eV/f.u.


What is the N(E_F) in the second record? 5.459 states/eV/f.u.


Look up the mass density of the fifth one. 7.98 g/cm3


Number 3 is which compound? Ba2SnAu